A relaxed Tb5BiPd2 crystal. Source: Alexandria, functional PBEsol.

Lattice parameters (Å, degrees): 7.7672 8.6768 7.7672 63.41 90.00 116.59
With the nearest neighbours (Å) after each atom.
Positions (direct):
Tb 0.0000 0.0000 0.0000  4 Pd 3.02, 2 Bi 3.36
Tb 0.5000 0.0000 0.5000  4 Pd 3.02, 2 Bi 3.36
Tb 0.7952 0.2799 0.0153  3 Pd 2.94-2.97, 2 Bi 3.29
Tb 0.2048 0.7201 0.9847  3 Pd 2.94-2.97, 2 Bi 3.29
Tb 0.4847 0.2799 0.7048  3 Pd 2.94-2.97, 2 Bi 3.29
Tb 0.2952 0.2799 0.2048  3 Pd 2.94-2.97, 2 Bi 3.29
Tb 0.0153 0.7201 0.4847  3 Pd 2.94-2.97, 2 Bi 3.29
Tb 0.5153 0.7201 0.2952  3 Pd 2.94-2.97, 2 Bi 3.29
Tb 0.7048 0.7201 0.7952  3 Pd 2.94-2.97, 2 Bi 3.29
Tb 0.9847 0.2799 0.5153  3 Pd 2.94-2.97, 2 Bi 3.29
Bi 0.2500 0.5000 0.7500  10 Tb 3.29-3.36
Bi 0.7500 0.5000 0.2500  10 Tb 3.29-3.36
Pd 0.1351 0.0000 0.6351  8 Tb 2.94-3.02, 1 Pd 2.97
Pd 0.8649 0.0000 0.3649  8 Tb 2.94-3.02, 1 Pd 2.97
Pd 0.6351 0.0000 0.8649  8 Tb 2.94-3.02, 1 Pd 2.97
Pd 0.3649 0.0000 0.1351  8 Tb 2.94-3.02, 1 Pd 2.97

Output
E_form in eV per atom: -0.69